1.
# CoSiTcPb2

Crystalline CoSiTcPb2 at its relaxed geometry (PBE-GGA, Alexandria).

a b c (Å): 5.3298 5.3298 4.5996
angles (deg): 90.00 90.00 90.00
Closest atoms and distances in Å follow each position.
Sites, in units of the cell vectors:
Pb1 0.0000 0.5000 0.0000  2 Tc 2.66
Pb2 0.5000 0.0000 0.0000  2 Tc 2.66
Si1 0.0000 0.0000 0.5000  2 Tc 2.30
Co1 0.5000 0.5000 0.5000  8 Pb 3.52, 4 Si 3.77
Tc1 0.0000 0.0000 0.0000  2 Si 2.30

Computed properties:
space group	No. 123
raw formation energy	0.91	eV per atom
size of the total moment	0.400	μB/atom

2.
# Tc2PI

Crystalline Tc2PI at its relaxed geometry (PBE-GGA, Alexandria).

a b c (Å): 5.4554 5.4554 7.0318
angles (deg): 67.18 67.18 90.00
Closest atoms and distances in Å follow each position.
Sites, in units of the cell vectors:
I1 0.0000 0.0000 0.0000  4 Tc 2.61
I2 0.7500 0.2500 0.5000  4 Tc 2.61
P1 0.5000 0.5000 0.0000  4 Tc 2.27
P2 0.2500 0.7500 0.5000  4 Tc 2.27
Tc1 0.5699 0.1250 0.2500  2 P 2.27
Tc2 0.1801 0.6250 0.2500  2 P 2.27
Tc3 0.3750 0.4301 0.7500  2 P 2.27
Tc4 0.8750 0.8199 0.7500  2 P 2.27

Computed properties:
space group	No. 122
raw formation energy	0.51	eV per atom
size of the total moment	0.000	μB/atom
relative energy among the computed polymorphs	0.000	eV per atom

3.
# DyZrP

Crystalline DyZrP at its relaxed geometry (PBE-GGA, Alexandria).

a b c (Å): 3.9372 4.4599 4.4599
angles (deg): 120.00 90.00 90.00
Closest atoms and distances in Å follow each position.
Sites, in units of the cell vectors:
P1 0.1670 0.3333 0.6667  3 Zr 2.57
Zr1 0.1665 0.0000 0.0000  3 P 2.57
Dy1 0.6664 0.6667 0.3333  6 P 3.24, 6 Zr 3.24

Computed properties:
space group	No. 187
formation energy from the elements	-1.534	eV/f.u.
size of the total moment	0.000	μB/atom

4.
# PmHoAg2Se4

Crystalline PmHoAg2Se4 at its relaxed geometry (PBE-GGA, Alexandria).

a b c (Å): 4.2253 6.8725 7.3139
angles (deg): 69.49 90.00 90.00
Closest atoms and distances in Å follow each position.
Sites, in units of the cell vectors:
Pm1 0.0000 0.5000 0.5000  6 Se 2.94-2.95
Ho1 0.5000 0.5000 0.0000  6 Se 2.88-2.89
Ag1 0.0000 0.0000 0.0000  6 Se 2.88-2.91
Ag2 0.5000 0.0000 0.5000  6 Se 2.95-2.96
Se1 0.0000 0.7473 0.7581  3 Ag 2.88-2.96, 2 Ho 2.89, 1 Pm 2.95
Se2 0.0000 0.2527 0.2419  3 Ag 2.88-2.96, 2 Ho 2.89, 1 Pm 2.95
Se3 0.5000 0.7496 0.2447  1 Ho 2.88, 3 Ag 2.91-2.95, 2 Pm 2.94
Se4 0.5000 0.2504 0.7553  1 Ho 2.88, 3 Ag 2.91-2.95, 2 Pm 2.94

Computed properties:
space group	No. 10
raw formation energy	-1.16	eV per atom
size of the total moment	0.000	μB/atom

5.
# CeMgGaHg

Crystalline CeMgGaHg at its relaxed geometry (PBE-GGA, Alexandria).

a b c (Å): 5.0786 5.0786 5.0786
angles (deg): 60.00 60.00 60.00
Closest atoms and distances in Å follow each position.
Sites, in units of the cell vectors:
Mg1 0.5000 0.5000 0.5000  4 Ga 3.11, 4 Hg 3.11
Ga1 0.7500 0.7500 0.7500  4 Ce 3.11, 4 Mg 3.11
Hg1 0.2500 0.2500 0.2500  4 Mg 3.11, 4 Ce 3.11
Ce1 0.0000 0.0000 0.0000  4 Hg 3.11, 4 Ga 3.11

Computed properties:
space group	No. 216
formation energy from the elements	-1.602	eV/f.u.
size of the total moment	0.202	μB/atom

6.
# Y6P2RhSe3

Crystalline Y6P2RhSe3 at its relaxed geometry (PBE-GGA, Alexandria).

a b c (Å): 4.0254 8.2301 9.1263
angles (deg): 103.70 102.74 90.00
Closest atoms and distances in Å follow each position.
Sites, in units of the cell vectors:
Y1 0.3383 0.9051 0.6766  1 Rh 2.79, 2 P 2.81, 3 Se 2.93-2.98
Y2 0.6717 0.5718 0.3434  3 P 2.79, 3 Se 2.95-2.97
Y3 0.6617 0.0949 0.3234  1 Rh 2.79, 2 P 2.81, 3 Se 2.93-2.98
Y4 0.0042 0.2394 0.0083  2 Rh 2.80, 1 P 2.81, 3 Se 2.96-2.99
Y5 0.9958 0.7606 0.9917  2 Rh 2.80, 1 P 2.81, 3 Se 2.96-2.99
Y6 0.3283 0.4282 0.6566  3 P 2.79, 3 Se 2.95-2.97
P1 0.8331 0.6647 0.6661  6 Y 2.79-2.81
P2 0.1669 0.3353 0.3339  6 Y 2.79-2.81
Rh1 0.5000 0.0000 0.0000  6 Y 2.79-2.80
Se1 0.5000 0.5000 0.0000  6 Y 2.96-2.97
Se2 0.8312 0.1681 0.6623  6 Y 2.93-2.99
Se3 0.1688 0.8319 0.3377  6 Y 2.93-2.99

Computed properties:
space group	No. 12
raw formation energy	-1.59	eV per atom
size of the total moment	0.000	μB/atom

7.
# La9PrCd2

Crystalline La9PrCd2 at its relaxed geometry (PBE-GGA, Alexandria).

a b c (Å): 5.1304 5.1304 15.4356
angles (deg): 90.00 90.00 90.00
Closest atoms and distances in Å follow each position.
Sites, in units of the cell vectors:
La1 0.5000 0.5000 0.0000  4 Pr 3.63, 8 La 3.70
La2 0.5000 0.5000 0.3355  8 La 3.59-3.61, 4 Cd 3.63
La3 0.5000 0.5000 0.6645  8 La 3.59-3.61, 4 Cd 3.63
La4 0.5000 0.0000 0.1726  8 La 3.59-3.70, 2 Cd 3.63, 2 Pr 3.70
La5 0.5000 0.0000 0.5000  4 Cd 3.58, 8 La 3.61-3.63
La6 0.5000 0.0000 0.8274  8 La 3.59-3.70, 2 Cd 3.63, 2 Pr 3.70
La7 0.0000 0.5000 0.1726  8 La 3.59-3.70, 2 Cd 3.63, 2 Pr 3.70
La8 0.0000 0.5000 0.5000  4 Cd 3.58, 8 La 3.61-3.63
La9 0.0000 0.5000 0.8274  8 La 3.59-3.70, 2 Cd 3.63, 2 Pr 3.70
Pr1 0.0000 0.0000 0.0000  12 La 3.63-3.70
Cd1 0.0000 0.0000 0.3386  12 La 3.58-3.63
Cd2 0.0000 0.0000 0.6614  12 La 3.58-3.63

Computed properties:
space group	No. 123
formation energy from the elements	-0.964	eV/f.u.
size of the total moment	0.000	μB/atom

8.
# La6PrDy2Ho

Crystalline La6PrDy2Ho at its relaxed geometry (PBE-GGA, Alexandria).

a b c (Å): 9.0022 7.2307 6.7459
angles (deg): 122.41 101.93 90.00
Closest atoms and distances in Å follow each position.
Sites, in units of the cell vectors:
La1 0.4336 0.6353 0.2705  5 La 3.57-3.77, 1 Pr 3.83
La2 0.2019 0.0431 0.6417  1 La 3.21, 2 Dy 3.26-3.54, 1 Ho 3.36
La3 0.7981 0.4014 0.3583  1 La 3.21, 2 Dy 3.26-3.54, 1 Ho 3.36
La4 0.2019 0.5986 0.6417  1 La 3.21, 2 Dy 3.26-3.54, 1 Ho 3.36
La5 0.7981 0.9569 0.3583  1 La 3.21, 2 Dy 3.26-3.54, 1 Ho 3.36
La6 0.5664 0.3647 0.7295  5 La 3.57-3.77, 1 Pr 3.83
Pr1 0.0000 0.5000 0.0000  10 La 3.65-4.00, 4 Dy 3.95
Dy1 0.1665 0.0896 0.1793  1 Dy 3.19, 4 La 3.26-3.54, 1 Ho 3.40
Dy2 0.8335 0.9104 0.8207  1 Dy 3.19, 4 La 3.26-3.54, 1 Ho 3.40
Ho1 0.5000 0.0000 0.0000  4 La 3.36, 2 Dy 3.40

Computed properties:
space group	No. 12
formation energy from the elements	1.868	eV/f.u.
size of the total moment	0.000	μB/atom

9.
# TaOsPb

Crystalline TaOsPb at its relaxed geometry (PBE-GGA, Alexandria).

a b c (Å): 6.4546 6.4546 3.1797
angles (deg): 75.74 75.74 28.52
Closest atoms and distances in Å follow each position.
Sites, in units of the cell vectors:
Os1 0.0260 0.0260 0.9740  4 Ta 2.62
Pb1 0.3372 0.3372 0.6628  4 Pb 3.18, 4 Os 3.21, 4 Ta 3.31
Ta1 0.6368 0.6369 0.3632  4 Os 2.62

Computed properties:
space group	No. 107
formation energy from the elements	1.081	eV/f.u.
size of the total moment	0.000	μB/atom
relative energy among the computed polymorphs	0.000	eV per atom

10.
# LiYIn2

Crystalline LiYIn2 at its relaxed geometry (PBE-GGA, Alexandria).

a b c (Å): 3.5235 3.5416 8.1883
angles (deg): 64.38 90.00 90.00
Closest atoms and distances in Å follow each position.
Sites, in units of the cell vectors:
Y1 0.5000 0.7500 0.7500  8 In 3.29, 4 Y 3.52-3.54
Li1 0.5000 0.2500 0.2500  8 In 2.94
In1 0.0000 0.9610 0.0392  4 Li 2.94, 1 In 3.11, 4 Y 3.29
In2 0.0000 0.5390 0.4608  4 Li 2.94, 1 In 3.11, 4 Y 3.29

Computed properties:
space group	No. 47
formation energy from the elements	-1.624	eV/f.u.
size of the total moment	0.068	μB/atom

11.
# DyAl11Co

Crystalline DyAl11Co at its relaxed geometry (PBE-GGA, Alexandria).

a b c (Å): 5.1211 7.1409 6.7730
angles (deg): 83.12 67.79 71.53
Closest atoms and distances in Å follow each position.
Sites, in units of the cell vectors:
Dy1 0.0000 0.0000 0.0000  18 Al 3.27-3.57
Al1 0.2853 0.2307 0.2145  1 Co 2.55, 5 Al 2.66-2.72
Al2 0.7147 0.7693 0.7855  1 Co 2.55, 5 Al 2.66-2.72
Al3 0.5002 0.7693 0.2145  1 Co 2.55, 5 Al 2.66-2.72
Al4 0.4998 0.2307 0.7855  1 Co 2.55, 5 Al 2.66-2.72
Al5 0.3615 0.6391 0.6545  1 Co 2.69, 8 Al 2.69-2.99
Al6 0.6385 0.3609 0.3455  1 Co 2.69, 8 Al 2.69-2.99
Al7 0.9840 0.3609 0.6545  1 Co 2.69, 8 Al 2.69-2.99
Al8 0.0160 0.6391 0.3455  1 Co 2.69, 8 Al 2.69-2.99
Al9 0.0000 0.5000 0.0000  2 Co 2.56, 8 Al 2.66-2.69
Al10 0.5000 0.0000 0.5000  8 Al 2.56-2.86
Al11 0.0000 0.0000 0.5000  8 Al 2.56-2.86
Co1 0.5000 0.5000 0.0000  10 Al 2.55-2.69

Computed properties:
space group	No. 12
formation energy from the elements	-2.564	eV/f.u.
size of the total moment	0.000	μB/atom

12.
# I3BrCl12

Crystalline I3BrCl12 at its relaxed geometry (PBE-GGA, Alexandria).

a b c (Å): 14.2722 14.2722 11.9833
angles (deg): 53.45 53.45 60.00
Closest atoms and distances in Å follow each position.
Sites, in units of the cell vectors:
I1 0.6685 0.3253 0.9860  4 Cl 2.39-2.67
I2 0.1685 0.5202 0.4860  4 Cl 2.39-2.67
I3 0.8253 0.1685 0.4860  4 Cl 2.39-2.67
I4 0.3253 0.0202 0.9860  4 Cl 2.39-2.67
I5 0.0202 0.6685 0.9860  4 Cl 2.39-2.67
I6 0.5202 0.8253 0.4860  4 Cl 2.39-2.67
Br1 0.1403 0.1403 0.5790  3 Cl 2.50
Br2 0.6403 0.6403 0.0790  3 Cl 2.50
Cl1 0.1572 0.1861 0.9991  1 I 2.39
Cl2 0.1341 0.3064 0.6015  1 Br 2.50, 1 I 2.67
Cl3 0.9306 0.9670 0.4912  1 I 2.47
Cl4 0.8633 0.2173 0.0000  1 I 2.47
Cl5 0.3633 0.4195 0.5000  1 I 2.47
Cl6 0.4306 0.1112 0.9912  1 I 2.47
Cl7 0.6341 0.4579 0.1015  1 Br 2.50, 1 I 2.67
Cl8 0.9670 0.6112 0.4912  1 I 2.47
Cl9 0.6572 0.1576 0.4991  1 I 2.39
Cl10 0.9579 0.1341 0.6015  1 Br 2.50, 1 I 2.67
Cl11 0.7173 0.3633 0.5000  1 I 2.47
Cl12 0.1576 0.6861 0.4991  1 I 2.39
Cl13 0.1112 0.4670 0.9912  1 I 2.47
Cl14 0.6576 0.1572 0.9991  1 I 2.39
Cl15 0.2173 0.9195 0.0000  1 I 2.47
Cl16 0.4579 0.8064 0.1015  1 Br 2.50, 1 I 2.67
Cl17 0.8064 0.6341 0.1015  1 Br 2.50, 1 I 2.67
Cl18 0.4670 0.4306 0.9912  1 I 2.47
Cl19 0.6861 0.6572 0.4991  1 I 2.39
Cl20 0.9195 0.8633 0.0000  1 I 2.47
Cl21 0.4195 0.7173 0.5000  1 I 2.47
Cl22 0.1861 0.6576 0.9991  1 I 2.39
Cl23 0.3064 0.9579 0.6015  1 Br 2.50, 1 I 2.67
Cl24 0.6112 0.9306 0.4912  1 I 2.47

Computed properties:
space group	No. 161
raw formation energy	-0.05	eV per atom
size of the total moment	0.000	μB/atom

> Which of these has the highest size of the total moment?

CoSiTcPb2